VASP calculation (GGA-PBE) on Ti2Mn4Si5 after structural relaxation.

Calculated values
Raw formation energy, eV/atom: -0.357
Total moment, μB per cell: 24.7

Cell: 7.250 16.481 4.825 Å, 90.00 90.00 90.00°
Space group Ibam (No. 72)
Asymmetric unit:
Ti1 0.000 0.188 0.250 (multiplicity 8)
Mn1 0.131 0.345 0.000 (multiplicity 8)
Mn2 0.246 0.063 0.000 (multiplicity 8)
Si1 0.000 0.500 0.250 (multiplicity 4)
Si2 0.101 0.060 0.500 (multiplicity 8)
Si3 0.189 0.296 0.500 (multiplicity 8)

VASP calculation (GGA-PBE) on PmMg2Bi3 after structural relaxation.

Calculated values
Energy relative to the elements, eV per atom: -0.373
Total moment, μB per cell: 0.0

Cell: 4.400 12.091 6.731 Å, 90.00 90.00 90.00°
Space group Pmc2_1 (No. 26)
Asymmetric unit:
Pm1 0.000 0.118 0.000 (multiplicity 2)
Mg1 0.000 0.232 0.515 (multiplicity 2)
Mg2 0.500 0.463 0.545 (multiplicity 2)
Bi1 0.000 0.386 0.856 (multiplicity 2)
Bi2 0.500 0.071 0.643 (multiplicity 2)
Bi3 0.500 0.279 0.223 (multiplicity 2)

VASP calculation (GGA-PBE) on Ac3Pd4Pt4 after structural relaxation.

Calculated values
Energy relative to the elements, eV per atom: -0.601
Total moment, μB per cell: 0.0

Cell: 8.025 8.025 8.025 Å, 90.00 90.00 90.00°
Space group I-43m (No. 217)
Asymmetric unit:
Ac1 0.000 0.000 0.500 (multiplicity 6)
Pd1 0.122 0.122 0.122 (multiplicity 8)
Pt1 0.197 0.197 0.803 (multiplicity 8)

VASP calculation (GGA-PBE) on ScZn2BiO6 after structural relaxation.

Calculated values
Raw formation energy, eV/atom: -1.707
Total moment, μB per cell: 0.0

Cell: 5.3965 5.3965 14.4879 Å, 90.00 90.00 120.00°
Space group R3 (No. 146, hexagonal axes)
Asymmetric unit:
Sc1 0.0000 0.0000 0.0000 (multiplicity 3)
Zn1 0.0000 0.0000 0.2814 (multiplicity 3)
Zn2 0.0000 0.0000 0.7827 (multiplicity 3)
Bi1 0.0000 0.0000 0.4965 (multiplicity 3)
O1 0.0301 0.6711 0.0654 (multiplicity 9)
O2 0.0334 0.3635 0.5658 (multiplicity 9)

VASP calculation (GGA-PBE) on Bi2SbPbO6 after structural relaxation.

Calculated values
Raw formation energy, eV/atom: -1.131
Total moment, μB per cell: 0.8

Cell: 6.154 6.155 6.169 Å, 90.09 119.69 119.95°
Space group P1 (No. 1)
Asymmetric unit:
Bi1 0.000 0.000 0.000 (multiplicity 1)
Bi2 0.016 0.507 0.493 (multiplicity 1)
Sb1 0.424 0.211 0.787 (multiplicity 1)
Pb1 0.465 0.732 0.268 (multiplicity 1)
O1 0.225 0.858 0.874 (multiplicity 1)
O2 0.241 0.915 0.425 (multiplicity 1)
O3 0.487 0.361 0.138 (multiplicity 1)
O4 0.487 0.573 0.671 (multiplicity 1)
O5 0.904 0.326 0.086 (multiplicity 1)
O6 0.987 0.125 0.638 (multiplicity 1)

VASP calculation (GGA-PBE) on Mg2Se3 after structural relaxation.

Calculated values
Raw formation energy, eV/atom: -0.576
Total moment, μB per cell: 0.0

Cell: 4.8161 4.8161 5.6536 Å, 90.00 90.00 120.00°
Space group P-3m1 (No. 164)
Asymmetric unit:
Mg1 0.3333 0.6667 0.2820 (multiplicity 2)
Se1 0.0000 0.0000 0.5000 (multiplicity 1)
Se2 0.3333 0.6667 0.7915 (multiplicity 2)

Q: Which of these has the highest total moment?
A: Ti2Mn4Si5

Copy entry 2 word for word.
VASP calculation (GGA-PBE) on PmMg2Bi3 after structural relaxation.

Calculated values
Energy relative to the elements, eV per atom: -0.373
Total moment, μB per cell: 0.0

Cell: 4.400 12.091 6.731 Å, 90.00 90.00 90.00°
Space group Pmc2_1 (No. 26)
Asymmetric unit:
Pm1 0.000 0.118 0.000 (multiplicity 2)
Mg1 0.000 0.232 0.515 (multiplicity 2)
Mg2 0.500 0.463 0.545 (multiplicity 2)
Bi1 0.000 0.386 0.856 (multiplicity 2)
Bi2 0.500 0.071 0.643 (multiplicity 2)
Bi3 0.500 0.279 0.223 (multiplicity 2)